[1]
Tb12PrY5: relaxed, PBE.

The space group is P2/m (No. 10) and the conventional cell measures 10.709, 5.052 and 10.721 Å, with angles of 90.00, 90.06 and 90.00 degrees. The inequivalent atoms are Tb at (0.001, 0.000, 0.333), Tb at (0.165, 0.500, 0.499), Tb at (0.167, 0.500, 0.167), Tb at (0.331, 0.000, 0.331), Tb at (0.333, 0.000, 0.001), Tb at (0.499, 0.500, 0.165), Pr at (0.500, 0.500, 0.500), Y at (0.000, 0.000, 0.000), Y at (0.166, 0.500, 0.833) and Y at (0.332, 0.000, 0.668).

=====

[2]
Tb5Pr2Y12: relaxed, PBE.

The space group is C2/m (No. 12) and the conventional cell measures 15.717, 9.363 and 8.630 Å, with angles of 90.00, 91.53 and 90.00 degrees. The inequivalent atoms are Tb at (0.000, 0.000, 0.000), Tb at (0.200, 0.500, 0.513), Tb at (0.231, 0.000, 0.075), Pr at (0.000, 0.320, 0.500), Y at (0.058, 0.500, 0.830), Y at (0.087, 0.000, 0.378), Y at (0.128, 0.309, 0.155) and Y at (0.154, 0.179, 0.742).

Its offset from the most stable computed form is 0.086 eV/atom.

=====

[3]
TbPr2Y7: relaxed, PBE.

The space group is Cmmm (No. 65) and the conventional cell measures 6.570, 29.152 and 3.535 Å, with angles of 90.00, 90.00 and 90.00 degrees. The inequivalent atoms are Tb at (0.000, 0.000, 0.000), Pr at (0.000, 0.293, 0.500), Y at (0.000, 0.185, 0.000), Y at (0.000, 0.500, 0.500) and Y at (0.246, 0.098, 0.500).

Its offset from the most stable computed form is 0.140 eV/atom.

=====

Short version: electronic total energy = -5.1293 -5.6741 -5.7847 eV/atom, in the order given.
Short version: formation enthalpy at 0 K = 0.019 0.130 0.159 eV/atom, in the order given.